1.
## LaIn2PdAu (PBE)

Data for an optimized crystal structure of LaIn2PdAu.

Values from the calculation:
- total energy (eV/atom) = -4.3826

abc: 4.634 4.634 11.162
angles: 90.00 90.00 90.00
Sites, in units of the cell vectors:
La 0.250 0.250 0.239
La 0.750 0.750 0.761
In 0.250 0.250 0.882
In 0.250 0.750 0.500
In 0.750 0.250 0.500
In 0.750 0.750 0.118
Pd 0.250 0.750 0.000
Pd 0.750 0.250 0.000
Au 0.250 0.250 0.643
Au 0.750 0.750 0.357

***

2.
## Er2LuIn3CuAu2 (PBE)

Data for an optimized crystal structure of Er2LuIn3CuAu2.

Values from the calculation:
- total energy (eV/atom) = -4.2241

abc: 3.806 7.716 7.716
angles: 119.81 90.00 90.00
Sites, in units of the cell vectors:
Er 0.000 0.202 0.798
Er 0.000 0.798 0.202
Lu 0.000 0.605 0.605
In 0.500 0.202 0.453
In 0.500 0.453 0.202
In 0.500 0.951 0.951
Cu 0.000 0.203 0.203
Au 0.500 0.536 0.866
Au 0.500 0.866 0.536

***

3.
## HoSb (PBE)

Data for an optimized crystal structure of HoSb.

Values from the calculation:
- total energy (eV/atom) = -5.1246

abc: 3.780 3.780 3.780
angles: 90.00 90.00 90.00
Sites, in units of the cell vectors:
Ho 0.000 0.000 0.000
Sb 0.500 0.500 0.500

***

4.
## NdDyBi (PBE)

Data for an optimized crystal structure of NdDyBi.

Values from the calculation:
- total energy (eV/atom) = -4.8378

abc: 5.250 5.250 5.250
angles: 60.00 60.00 60.00
Sites, in units of the cell vectors:
Nd 0.000 0.000 0.000
Dy 0.500 0.500 0.500
Bi 0.750 0.750 0.750

***

5.
## CsLiTbTe3 (PBE)

Data for an optimized crystal structure of CsLiTbTe3.

Values from the calculation:
- total energy (eV/atom) = -3.8989

abc: 8.733 8.733 11.723
angles: 90.00 90.00 150.62
Sites, in units of the cell vectors:
Cs 0.243 0.757 0.750
Cs 0.757 0.243 0.250
Li 0.040 0.960 0.250
Li 0.960 0.040 0.750
Tb 0.500 0.500 0.000
Tb 0.500 0.500 0.500
Te 0.123 0.877 0.049
Te 0.123 0.877 0.451
Te 0.443 0.557 0.250
Te 0.557 0.443 0.750
Te 0.877 0.123 0.549
Te 0.877 0.123 0.951

***

6.
## Al24W5 (PBE)

Data for an optimized crystal structure of Al24W5.

Values from the calculation:
- total energy (eV/atom) = -5.2917

abc: 8.341 8.341 8.341
angles: 109.47 109.47 109.47
Sites, in units of the cell vectors:
Al 0.000 0.189 0.374
Al 0.000 0.374 0.189
Al 0.000 0.412 0.684
Al 0.000 0.684 0.412
Al 0.186 0.811 0.811
Al 0.189 0.000 0.374
Al 0.189 0.374 0.000
Al 0.272 0.588 0.588
Al 0.316 0.316 0.728
Al 0.316 0.728 0.316
Al 0.374 0.000 0.189
Al 0.374 0.189 0.000
Al 0.412 0.000 0.684
Al 0.412 0.684 0.000
Al 0.588 0.272 0.588
Al 0.588 0.588 0.272
Al 0.626 0.626 0.814
Al 0.626 0.814 0.626
Al 0.684 0.000 0.412
Al 0.684 0.412 0.000
Al 0.728 0.316 0.316
Al 0.811 0.186 0.811
Al 0.811 0.811 0.186
Al 0.814 0.626 0.626
W 0.000 0.000 0.000
W 0.000 0.000 0.645
W 0.000 0.645 0.000
W 0.355 0.355 0.355
W 0.645 0.000 0.000

***

7.
## BeTcIr (PBE)

Data for an optimized crystal structure of BeTcIr.

Values from the calculation:
- total energy (eV/atom) = -7.5728

abc: 4.009 4.009 4.009
angles: 60.00 60.00 60.00
Sites, in units of the cell vectors:
Be 0.000 0.000 0.000
Tc 0.500 0.500 0.500
Ir 0.250 0.250 0.250

***

8.
## RbTcAg (PBE)

Data for an optimized crystal structure of RbTcAg.

Values from the calculation:
- total energy (eV/atom) = -3.0917

abc: 5.163 5.163 5.163
angles: 60.00 60.00 60.00
Sites, in units of the cell vectors:
Rb 0.000 0.000 0.000
Tc 0.500 0.500 0.500
Ag 0.250 0.250 0.250

***

9.
## KDySc (PBE)

Data for an optimized crystal structure of KDySc.

Values from the calculation:
- total energy (eV/atom) = -2.8140

abc: 5.711 5.711 5.711
angles: 60.00 60.00 60.00
Sites, in units of the cell vectors:
K 0.000 0.000 0.000
Dy 0.500 0.500 0.500
Sc 0.750 0.750 0.750

***

10.
## SrTbZnTe3 (PBE)

Data for an optimized crystal structure of SrTbZnTe3.

Values from the calculation:
- total energy (eV/atom) = -3.9081

abc: 7.968 7.968 11.225
angles: 90.00 90.00 148.62
Sites, in units of the cell vectors:
Sr 0.235 0.765 0.750
Sr 0.765 0.235 0.250
Tb 0.000 0.000 0.000
Tb 0.000 0.000 0.500
Zn 0.473 0.527 0.250
Zn 0.527 0.473 0.750
Te 0.089 0.911 0.250
Te 0.360 0.640 0.061
Te 0.360 0.640 0.439
Te 0.640 0.360 0.561
Te 0.640 0.360 0.939
Te 0.911 0.089 0.750

***

11.
## CsLuZnTe3 (PBE)

Data for an optimized crystal structure of CsLuZnTe3.

Values from the calculation:
- total energy (eV/atom) = -3.7541

abc: 11.600 4.385 17.157
angles: 90.00 90.00 90.00
Sites, in units of the cell vectors:
Cs 0.244 0.250 0.003
Cs 0.256 0.750 0.503
Cs 0.744 0.250 0.497
Cs 0.756 0.750 0.997
Lu 0.004 0.750 0.251
Lu 0.496 0.250 0.751
Lu 0.504 0.750 0.249
Lu 0.996 0.250 0.749
Zn 0.247 0.750 0.789
Zn 0.253 0.250 0.289
Zn 0.747 0.750 0.711
Zn 0.753 0.250 0.211
Te 0.050 0.750 0.867
Te 0.058 0.250 0.370
Te 0.246 0.250 0.692
Te 0.254 0.750 0.192
Te 0.442 0.750 0.870
Te 0.450 0.250 0.367
Te 0.550 0.750 0.633
Te 0.558 0.250 0.130
Te 0.746 0.250 0.808
Te 0.754 0.750 0.308
Te 0.942 0.750 0.630
Te 0.950 0.250 0.133

***

12.
## NaSmHgTe3 (PBE)

Data for an optimized crystal structure of NaSmHgTe3.

Values from the calculation:
- total energy (eV/atom) = -3.4730

abc: 13.289 4.485 13.340
angles: 90.00 90.00 90.00
Sites, in units of the cell vectors:
Na 0.147 0.250 0.006
Na 0.353 0.750 0.506
Na 0.647 0.250 0.494
Na 0.853 0.750 0.994
Sm 0.048 0.250 0.322
Sm 0.452 0.750 0.822
Sm 0.548 0.250 0.178
Sm 0.952 0.750 0.678
Hg 0.243 0.250 0.704
Hg 0.257 0.750 0.204
Hg 0.743 0.250 0.796
Hg 0.757 0.750 0.296
Te 0.049 0.750 0.152
Te 0.082 0.250 0.570
Te 0.221 0.750 0.844
Te 0.279 0.250 0.344
Te 0.418 0.750 0.070
Te 0.451 0.250 0.652
Te 0.549 0.750 0.348
Te 0.582 0.250 0.930
Te 0.721 0.750 0.656
Te 0.779 0.250 0.156
Te 0.918 0.750 0.430
Te 0.951 0.250 0.848